## A
# H4Pd6Au

A geometry-optimized H4Pd6Au structure (GGA-PBE, Alexandria via LeMat-Bulk).

Cell and atoms, written as CIF:
```
data_H4Pd6Au
_chemical_formula_sum 'H4 Pd6 Au1'
_space_group_name_H-M_alt 'P 1'
_space_group_IT_number 1
_cell_length_a 5.737
_cell_length_b 5.737
_cell_length_c 5.737
_cell_angle_alpha 121.96
_cell_angle_beta 121.96
_cell_angle_gamma 86.63
loop_
_space_group_symop_operation_xyz
'x,y,z'
loop_
_atom_site_label
_atom_site_type_symbol
_atom_site_fract_x
_atom_site_fract_y
_atom_site_fract_z
H1 H 0.158 0.737 0.000
H2 H 0.263 0.263 0.421
H3 H 0.737 0.158 0.000
H4 H 0.842 0.842 0.579
Pd1 Pd 0.000 0.500 0.500
Pd2 Pd 0.002 0.002 0.501
Pd3 Pd 0.499 0.998 0.000
Pd4 Pd 0.500 0.000 0.500
Pd5 Pd 0.501 0.501 0.499
Pd6 Pd 0.998 0.499 0.000
Au1 Au 0.500 0.500 0.000
```

---

## B
# H4Pd6Au

A geometry-optimized H4Pd6Au structure (GGA-PBE, Alexandria via LeMat-Bulk).

Cell and atoms, written as CIF:
```
data_H4Pd6Au
_chemical_formula_sum 'H8 Pd12 Au2'
_space_group_name_H-M_alt 'P 1'
_space_group_IT_number 1
_cell_length_a 4.078
_cell_length_b 11.273
_cell_length_c 5.685
_cell_angle_alpha 90.00
_cell_angle_beta 90.31
_cell_angle_gamma 90.00
loop_
_space_group_symop_operation_xyz
'x,y,z'
loop_
_atom_site_label
_atom_site_type_symbol
_atom_site_fract_x
_atom_site_fract_y
_atom_site_fract_z
H1 H 0.079 0.107 0.268
H2 H 0.079 0.393 0.268
H3 H 0.365 0.040 0.889
H4 H 0.365 0.460 0.889
H5 H 0.635 0.540 0.111
H6 H 0.635 0.960 0.111
H7 H 0.921 0.607 0.732
H8 H 0.921 0.893 0.732
Pd1 Pd 0.000 0.000 0.500
Pd2 Pd 0.000 0.500 0.500
Pd3 Pd 0.003 0.750 0.591
Pd4 Pd 0.497 0.113 0.166
Pd5 Pd 0.497 0.387 0.166
Pd6 Pd 0.500 0.130 0.666
Pd7 Pd 0.500 0.370 0.666
Pd8 Pd 0.500 0.630 0.334
Pd9 Pd 0.500 0.870 0.334
Pd10 Pd 0.503 0.613 0.834
Pd11 Pd 0.503 0.887 0.834
Pd12 Pd 0.997 0.250 0.409
Au1 Au 0.006 0.750 0.087
Au2 Au 0.994 0.250 0.913
```

---

B wins, 41 meV/atom ahead of the next structure.

---

## A
# H3Pd6Au

A geometry-optimized H3Pd6Au structure (GGA-PBE, Alexandria via LeMat-Bulk).

Cell and atoms, written as CIF:
```
data_H3Pd6Au
_chemical_formula_sum 'H3 Pd6 Au1'
_space_group_name_H-M_alt 'P 1'
_space_group_IT_number 1
_cell_length_a 4.989
_cell_length_b 5.018
_cell_length_c 5.042
_cell_angle_alpha 99.59
_cell_angle_beta 98.47
_cell_angle_gamma 100.29
loop_
_space_group_symop_operation_xyz
'x,y,z'
loop_
_atom_site_label
_atom_site_type_symbol
_atom_site_fract_x
_atom_site_fract_y
_atom_site_fract_z
H1 H 0.000 0.000 0.000
H2 H 0.178 0.688 0.416
H3 H 0.597 0.543 0.129
Pd1 Pd 0.068 0.724 0.747
Pd2 Pd 0.221 0.023 0.317
Pd3 Pd 0.347 0.291 0.875
Pd4 Pd 0.506 0.583 0.468
Pd5 Pd 0.635 0.876 0.023
Pd6 Pd 0.928 0.432 0.161
Au1 Au 0.781 0.155 0.592
```

---

## B
# H3Pd6Au

A geometry-optimized H3Pd6Au structure (GGA-PBE, Alexandria via LeMat-Bulk).

Cell and atoms, written as CIF:
```
data_H3Pd6Au
_chemical_formula_sum 'H6 Pd12 Au2'
_space_group_name_H-M_alt 'P 1'
_space_group_IT_number 1
_cell_length_a 7.130
_cell_length_b 7.130
_cell_length_c 5.681
_cell_angle_alpha 90.00
_cell_angle_beta 90.00
_cell_angle_gamma 122.32
loop_
_space_group_symop_operation_xyz
'x,y,z'
loop_
_atom_site_label
_atom_site_type_symbol
_atom_site_fract_x
_atom_site_fract_y
_atom_site_fract_z
H1 H 0.133 0.867 0.750
H2 H 0.206 0.243 0.750
H3 H 0.243 0.206 0.250
H4 H 0.757 0.794 0.750
H5 H 0.794 0.757 0.250
H6 H 0.867 0.133 0.250
Pd1 Pd 0.092 0.318 0.001
Pd2 Pd 0.092 0.318 0.499
Pd3 Pd 0.276 0.724 0.750
Pd4 Pd 0.318 0.092 0.501
Pd5 Pd 0.318 0.092 0.999
Pd6 Pd 0.500 0.500 0.250
Pd7 Pd 0.500 0.500 0.750
Pd8 Pd 0.682 0.908 0.001
Pd9 Pd 0.682 0.908 0.499
Pd10 Pd 0.724 0.276 0.250
Pd11 Pd 0.908 0.682 0.501
Pd12 Pd 0.908 0.682 0.999
Au1 Au 0.272 0.728 0.250
Au2 Au 0.728 0.272 0.750
```

---

A wins, 50 meV/atom ahead of the next structure.

---

## A
# H2PdAu2

A geometry-optimized H2PdAu2 structure (GGA-PBE, Alexandria via LeMat-Bulk).

Cell and atoms, written as CIF:
```
data_H2PdAu2
_chemical_formula_sum 'H2 Pd1 Au2'
_space_group_name_H-M_alt 'P 1'
_space_group_IT_number 1
_cell_length_a 4.042
_cell_length_b 4.042
_cell_length_c 3.934
_cell_angle_alpha 90.00
_cell_angle_beta 90.00
_cell_angle_gamma 90.00
loop_
_space_group_symop_operation_xyz
'x,y,z'
loop_
_atom_site_label
_atom_site_type_symbol
_atom_site_fract_x
_atom_site_fract_y
_atom_site_fract_z
H1 H 0.000 0.500 0.000
H2 H 0.500 0.000 0.000
Pd1 Pd 0.000 0.000 0.000
Au1 Au 0.000 0.500 0.500
Au2 Au 0.500 0.000 0.500
```

---

## B
# H2PdAu2

A geometry-optimized H2PdAu2 structure (GGA-PBE, Alexandria via LeMat-Bulk).

Cell and atoms, written as CIF:
```
data_H2PdAu2
_chemical_formula_sum 'H2 Pd1 Au2'
_space_group_name_H-M_alt 'P 1'
_space_group_IT_number 1
_cell_length_a 5.660
_cell_length_b 5.660
_cell_length_c 5.660
_cell_angle_alpha 145.08
_cell_angle_beta 145.08
_cell_angle_gamma 50.22
loop_
_space_group_symop_operation_xyz
'x,y,z'
loop_
_atom_site_label
_atom_site_type_symbol
_atom_site_fract_x
_atom_site_fract_y
_atom_site_fract_z
H1 H 0.250 0.750 0.500
H2 H 0.750 0.250 0.500
Pd1 Pd 0.000 0.000 0.000
Au1 Au 0.352 0.352 0.000
Au2 Au 0.648 0.648 0.000
```

---

A wins, 251 meV/atom ahead of the next structure.

---

## A
# H3Pd4Au2

A geometry-optimized H3Pd4Au2 structure (GGA-PBE, Alexandria via LeMat-Bulk).

Cell and atoms, written as CIF:
```
data_H3Pd4Au2
_chemical_formula_sum 'H3 Pd4 Au2'
_space_group_name_H-M_alt 'P 1'
_space_group_IT_number 1
_cell_length_a 6.783
_cell_length_b 5.829
_cell_length_c 4.886
_cell_angle_alpha 78.00
_cell_angle_beta 57.20
_cell_angle_gamma 44.79
loop_
_space_group_symop_operation_xyz
'x,y,z'
loop_
_atom_site_label
_atom_site_type_symbol
_atom_site_fract_x
_atom_site_fract_y
_atom_site_fract_z
H1 H 0.000 0.000 0.000
H2 H 0.000 0.000 0.500
H3 H 0.500 0.500 0.000
Pd1 Pd 0.039 0.705 0.295
Pd2 Pd 0.295 0.961 0.039
Pd3 Pd 0.705 0.039 0.961
Pd4 Pd 0.961 0.295 0.705
Au1 Au 0.357 0.357 0.643
Au2 Au 0.643 0.643 0.357
```

---

## B
# H3Pd4Au2

A geometry-optimized H3Pd4Au2 structure (GGA-PBE, Alexandria via LeMat-Bulk).

Cell and atoms, written as CIF:
```
data_H3Pd4Au2
_chemical_formula_sum 'H3 Pd4 Au2'
_space_group_name_H-M_alt 'P 1'
_space_group_IT_number 1
_cell_length_a 7.961
_cell_length_b 7.961
_cell_length_c 7.961
_cell_angle_alpha 159.92
_cell_angle_beta 140.01
_cell_angle_gamma 45.14
loop_
_space_group_symop_operation_xyz
'x,y,z'
loop_
_atom_site_label
_atom_site_type_symbol
_atom_site_fract_x
_atom_site_fract_y
_atom_site_fract_z
H1 H 0.000 0.000 0.000
H2 H 0.417 0.417 0.000
H3 H 0.583 0.583 0.000
Pd1 Pd 0.159 0.907 0.252
Pd2 Pd 0.344 0.093 0.252
Pd3 Pd 0.656 0.907 0.748
Pd4 Pd 0.841 0.093 0.748
Au1 Au 0.237 0.737 0.500
Au2 Au 0.763 0.263 0.500
```

---

A wins, 22 meV/atom ahead of the next structure.

---

## A
# HPdPtAu2

A geometry-optimized HPdPtAu2 structure (GGA-PBE, Alexandria via LeMat-Bulk).

Cell and atoms, written as CIF:
```
data_HPdPtAu2
_chemical_formula_sum 'H1 Pd1 Pt1 Au2'
_space_group_name_H-M_alt 'P 1'
_space_group_IT_number 1
_cell_length_a 4.437
_cell_length_b 4.437
_cell_length_c 3.596
_cell_angle_alpha 90.00
_cell_angle_beta 90.00
_cell_angle_gamma 90.00
loop_
_space_group_symop_operation_xyz
'x,y,z'
loop_
_atom_site_label
_atom_site_type_symbol
_atom_site_fract_x
_atom_site_fract_y
_atom_site_fract_z
H1 H 0.000 0.000 0.000
Pd1 Pd 0.500 0.500 0.500
Pt1 Pt 0.000 0.000 0.500
Au1 Au 0.000 0.500 0.000
Au2 Au 0.500 0.000 0.000
```

---

## B
# HPdPtAu2

A geometry-optimized HPdPtAu2 structure (GGA-PBE, Alexandria via LeMat-Bulk).

Cell and atoms, written as CIF:
```
data_HPdPtAu2
_chemical_formula_sum 'H1 Pd1 Pt1 Au2'
_space_group_name_H-M_alt 'P 1'
_space_group_IT_number 1
_cell_length_a 4.407
_cell_length_b 4.407
_cell_length_c 3.610
_cell_angle_alpha 90.00
_cell_angle_beta 90.00
_cell_angle_gamma 90.00
loop_
_space_group_symop_operation_xyz
'x,y,z'
loop_
_atom_site_label
_atom_site_type_symbol
_atom_site_fract_x
_atom_site_fract_y
_atom_site_fract_z
H1 H 0.000 0.000 0.000
Pd1 Pd 0.000 0.000 0.500
Pt1 Pt 0.500 0.500 0.500
Au1 Au 0.000 0.500 0.000
Au2 Au 0.500 0.000 0.000
```

---

A wins, 20 meV/atom ahead of the next structure.

---

## A
# HPd2RhAu

A geometry-optimized HPd2RhAu structure (GGA-PBE, Alexandria via LeMat-Bulk).

Cell and atoms, written as CIF:
```
data_HPd2RhAu
_chemical_formula_sum 'H1 Pd2 Rh1 Au1'
_space_group_name_H-M_alt 'P 1'
_space_group_IT_number 1
_cell_length_a 3.981
_cell_length_b 3.981
_cell_length_c 4.147
_cell_angle_alpha 90.00
_cell_angle_beta 90.00
_cell_angle_gamma 90.00
loop_
_space_group_symop_operation_xyz
'x,y,z'
loop_
_atom_site_label
_atom_site_type_symbol
_atom_site_fract_x
_atom_site_fract_y
_atom_site_fract_z
H1 H 0.000 0.000 0.000
Pd1 Pd 0.000 0.500 0.000
Pd2 Pd 0.500 0.000 0.000
Rh1 Rh 0.500 0.500 0.500
Au1 Au 0.000 0.000 0.500
```

---

## B
# HPd2RhAu

A geometry-optimized HPd2RhAu structure (GGA-PBE, Alexandria via LeMat-Bulk).

Cell and atoms, written as CIF:
```
data_HPd2RhAu
_chemical_formula_sum 'H1 Pd2 Rh1 Au1'
_space_group_name_H-M_alt 'P 1'
_space_group_IT_number 1
_cell_length_a 4.070
_cell_length_b 4.070
_cell_length_c 3.940
_cell_angle_alpha 90.00
_cell_angle_beta 90.00
_cell_angle_gamma 90.00
loop_
_space_group_symop_operation_xyz
'x,y,z'
loop_
_atom_site_label
_atom_site_type_symbol
_atom_site_fract_x
_atom_site_fract_y
_atom_site_fract_z
H1 H 0.000 0.000 0.000
Pd1 Pd 0.000 0.500 0.000
Pd2 Pd 0.500 0.000 0.000
Rh1 Rh 0.000 0.000 0.500
Au1 Au 0.500 0.500 0.500
```

---

## C
# HPd2RhAu

A geometry-optimized HPd2RhAu structure (GGA-PBE, Alexandria via LeMat-Bulk).

Cell and atoms, written as CIF:
```
data_HPd2RhAu
_chemical_formula_sum 'H1 Pd2 Rh1 Au1'
_space_group_name_H-M_alt 'P 1'
_space_group_IT_number 1
_cell_length_a 5.038
_cell_length_b 5.038
_cell_length_c 4.933
_cell_angle_alpha 90.00
_cell_angle_beta 90.00
_cell_angle_gamma 90.00
loop_
_space_group_symop_operation_xyz
'x,y,z'
loop_
_atom_site_label
_atom_site_type_symbol
_atom_site_fract_x
_atom_site_fract_y
_atom_site_fract_z
H1 H 0.000 0.000 0.000
Pd1 Pd 0.000 0.500 0.500
Pd2 Pd 0.500 0.000 0.500
Rh1 Rh 0.500 0.500 0.000
Au1 Au 0.500 0.500 0.500
```

---

B wins, 124 meV/atom ahead of the next structure.

---

## A
# Sr2HPdAu

A geometry-optimized Sr2HPdAu structure (GGA-PBE, Alexandria via LeMat-Bulk).

Cell and atoms, written as CIF:
```
data_Sr2HPdAu
_chemical_formula_sum 'Sr2 H1 Pd1 Au1'
_space_group_name_H-M_alt 'P 1'
_space_group_IT_number 1
_cell_length_a 5.360
_cell_length_b 5.360
_cell_length_c 3.878
_cell_angle_alpha 90.00
_cell_angle_beta 90.00
_cell_angle_gamma 90.00
loop_
_space_group_symop_operation_xyz
'x,y,z'
loop_
_atom_site_label
_atom_site_type_symbol
_atom_site_fract_x
_atom_site_fract_y
_atom_site_fract_z
Sr1 Sr 0.000 0.500 0.000
Sr2 Sr 0.500 0.000 0.000
H1 H 0.000 0.000 0.000
Pd1 Pd 0.500 0.500 0.500
Au1 Au 0.000 0.000 0.500
```

---

## B
# Sr2HPdAu

A geometry-optimized Sr2HPdAu structure (GGA-PBE, Alexandria via LeMat-Bulk).

Cell and atoms, written as CIF:
```
data_Sr2HPdAu
_chemical_formula_sum 'Sr2 H1 Pd1 Au1'
_space_group_name_H-M_alt 'P 1'
_space_group_IT_number 1
_cell_length_a 5.445
_cell_length_b 5.445
_cell_length_c 3.725
_cell_angle_alpha 90.00
_cell_angle_beta 90.00
_cell_angle_gamma 90.00
loop_
_space_group_symop_operation_xyz
'x,y,z'
loop_
_atom_site_label
_atom_site_type_symbol
_atom_site_fract_x
_atom_site_fract_y
_atom_site_fract_z
Sr1 Sr 0.000 0.500 0.000
Sr2 Sr 0.500 0.000 0.000
H1 H 0.000 0.000 0.000
Pd1 Pd 0.000 0.000 0.500
Au1 Au 0.500 0.500 0.500
```

---

B wins, 91 meV/atom ahead of the next structure.

---

## A
# HPdW2Au

A geometry-optimized HPdW2Au structure (GGA-PBE, Alexandria via LeMat-Bulk).

Cell and atoms, written as CIF:
```
data_HPdW2Au
_chemical_formula_sum 'H1 Pd1 W2 Au1'
_space_group_name_H-M_alt 'P 1'
_space_group_IT_number 1
_cell_length_a 4.938
_cell_length_b 4.938
_cell_length_c 5.055
_cell_angle_alpha 90.00
_cell_angle_beta 90.00
_cell_angle_gamma 90.00
loop_
_space_group_symop_operation_xyz
'x,y,z'
loop_
_atom_site_label
_atom_site_type_symbol
_atom_site_fract_x
_atom_site_fract_y
_atom_site_fract_z
H1 H 0.000 0.000 0.000
Pd1 Pd 0.500 0.500 0.000
W1 W 0.000 0.500 0.500
W2 W 0.500 0.000 0.500
Au1 Au 0.500 0.500 0.500
```

---

## B
# HPdW2Au

A geometry-optimized HPdW2Au structure (GGA-PBE, Alexandria via LeMat-Bulk).

Cell and atoms, written as CIF:
```
data_HPdW2Au
_chemical_formula_sum 'H1 Pd1 W2 Au1'
_space_group_name_H-M_alt 'P 1'
_space_group_IT_number 1
_cell_length_a 4.826
_cell_length_b 4.826
_cell_length_c 5.092
_cell_angle_alpha 90.00
_cell_angle_beta 90.00
_cell_angle_gamma 90.00
loop_
_space_group_symop_operation_xyz
'x,y,z'
loop_
_atom_site_label
_atom_site_type_symbol
_atom_site_fract_x
_atom_site_fract_y
_atom_site_fract_z
H1 H 0.000 0.000 0.000
Pd1 Pd 0.500 0.500 0.500
W1 W 0.000 0.500 0.500
W2 W 0.500 0.000 0.500
Au1 Au 0.500 0.500 0.000
```

---

B wins, 285 meV/atom ahead of the next structure.